First-principles (PBE) data for a relaxed ScCrPt crystal, as listed in Alexandria.

abc: 6.174 6.174 2.877
angles: 76.53 76.53 26.95
Site moments in Bohr magnetons follow the coordinates.
Positions (direct):
Cr: 0.988 0.988 0.012  0.84
Pt: 0.350 0.350 0.650  -0.03
Sc: 0.662 0.662 0.338  -0.10

Uncorrected energy (eV/f.u.): -22.74
Energy relative to the lowest polymorph listed for this composition (meV/atom): 72.0
Energy of formation from the pure elements (eV per atom): -0.248
Crystal system: tetragonal